# 1
The following is a DFT calculation (PBE-GGA) of ZrZn2Cd after structural relaxation.

As for the energy relative to the elements: -0.126 eV/atom.

It has space group Pm (No. 6), with a = 3.0237 Å, b = 4.3320 Å, c = 5.8210 Å, α = 90.00°, β = 104.78° and γ = 90.00°. The asymmetric unit holds Zr at (0.0000, 0.0000, 0.0000), Zn at (0.2694, 0.0000, 0.5324), Zn at (0.3948, 0.5000, 0.7857) and Cd at (0.6582, 0.5000, 0.3161).

# 2
The following is a DFT calculation (PBE-GGA) of Na2TlReH after structural relaxation.

Its final energy is -3.4607 eV/atom.

It has space group P4/mmm (No. 123), with a = 4.2728 Å, b = 4.2728 Å, c = 4.4523 Å, α = 90.00°, β = 90.00° and γ = 90.00°. The asymmetric unit holds Na at (0.0000, 0.5000, 0.0000), Tl at (0.0000, 0.0000, 0.5000), Re at (0.5000, 0.5000, 0.5000) and H at (0.5000, 0.5000, 0.0000).

# 3
The following is a DFT calculation (PBE-GGA) of Hf2Fe3Os after structural relaxation.

As for the energy relative to the elements: -0.373 eV/atom.

It has space group R-3m (No. 166, hexagonal axes), with a = 4.9487 Å, b = 4.9487 Å, c = 12.6948 Å, α = 90.00°, β = 90.00° and γ = 120.00°. The asymmetric unit holds Hf at (0.0000, 0.0000, 0.1236), Fe at (0.0000, 0.5000, 0.0000) and Os at (0.0000, 0.0000, 0.5000).

# 4
The following is a DFT calculation (PBE-GGA) of Ir2OF after structural relaxation.

Its energy above the most stable polymorph in this dataset is 675 meV/atom. For the uncorrected formation energy, the calculation gives 0.969 eV/atom.

It has space group Fm-3m (No. 225), with a = 5.7359 Å, b = 5.7359 Å, c = 5.7359 Å, α = 90.00°, β = 90.00° and γ = 90.00°. The asymmetric unit holds Ir at (0.2500, 0.2500, 0.2500), O at (0.0000, 0.0000, 0.0000) and F at (0.0000, 0.0000, 0.5000).

# 5
The following is a DFT calculation (PBE-GGA) of Ba8Zn2Rh after structural relaxation.

As for the energy relative to the elements: -0.093 eV/atom.

It has space group C2/m (No. 12), with a = 15.3831 Å, b = 8.5375 Å, c = 8.6114 Å, α = 90.00°, β = 91.17° and γ = 90.00°. The asymmetric unit holds Ba at (0.0418, 0.2459, 0.2581), Ba at (0.1932, 0.0000, 0.6125), Ba at (0.2051, 0.5000, 0.8948), Zn at (0.0886, 0.0000, 0.9589) and Rh at (0.0000, 0.0000, 0.5000).

# 6
The following is a DFT calculation (PBE-GGA) of LaSe2S after structural relaxation.

For the uncorrected formation energy, the calculation gives -0.817 eV/atom.

It has space group R-3m (No. 166, hexagonal axes), with a = 4.5963 Å, b = 4.5963 Å, c = 23.3363 Å, α = 90.00°, β = 90.00° and γ = 120.00°. The asymmetric unit holds La at (0.0000, 0.0000, 0.0000), Se at (0.0000, 0.0000, 0.3956) and S at (0.0000, 0.0000, 0.5000).

# 7
The following is a DFT calculation (PBE-GGA) of NaBiPb3 after structural relaxation.

As for the energy relative to the elements: -0.083 eV/atom. Its energy above the most stable polymorph in this dataset is 0 meV/atom.

It has space group P2_1/c (No. 14), with a = 9.3098 Å, b = 6.8240 Å, c = 10.2001 Å, α = 90.00°, β = 106.09° and γ = 90.00°. The asymmetric unit holds Na at (0.2123, 0.9996, 0.3023), Bi at (0.3672, 0.2466, 0.5932), Pb at (0.0077, 0.7483, 0.5026), Pb at (0.1871, 0.5018, 0.3000) and Pb at (0.4012, 0.7492, 0.5976).

# 8
The following is a DFT calculation (PBE-GGA) of Tl2CoHg after structural relaxation.

As for the energy relative to the elements: 0.549 eV/atom. Its energy above the most stable polymorph in this dataset is 241 meV/atom.

It has space group C2/m (No. 12), with a = 6.3959 Å, b = 7.7796 Å, c = 3.6592 Å, α = 90.00°, β = 90.31° and γ = 90.00°. The asymmetric unit holds Tl at (0.2500, 0.2500, 0.0000), Co at (0.0000, 0.0000, 0.5000) and Hg at (0.0000, 0.5000, 0.5000).

# 9
The following is a DFT calculation (PBE-GGA) of UPb2Se4 after structural relaxation.

Its energy above the most stable polymorph in this dataset is 69 meV/atom. For the uncorrected formation energy, the calculation gives -0.722 eV/atom.

It has space group Cmcm (No. 63), with a = 4.0174 Å, b = 14.7184 Å, c = 14.0245 Å, α = 90.00°, β = 90.00° and γ = 90.00°. The asymmetric unit holds U at (0.0000, 0.1196, 0.2500), Pb at (0.0000, 0.3701, 0.0681), Se at (0.0000, 0.0000, 0.0000), Se at (0.0000, 0.2910, 0.6301) and Se at (0.0000, 0.4840, 0.2500).

# 10
The following is a DFT calculation (PBE-GGA) of Li2PmI5 after structural relaxation.

Its energy above the most stable polymorph in this dataset is 7 meV/atom. For the uncorrected formation energy, the calculation gives -1.237 eV/atom.

It has space group Cm (No. 8), with a = 13.3302 Å, b = 9.1180 Å, c = 7.6013 Å, α = 90.00°, β = 120.36° and γ = 90.00°. The asymmetric unit holds Li at (0.0000, 0.2104, 0.0000), Pm at (0.2657, 0.5000, 0.2143), I at (0.0165, 0.5000, 0.1549), I at (0.0208, 0.0000, 0.2934), I at (0.2008, 0.2253, 0.9689) and I at (0.3610, 0.5000, 0.6753).

# 11
The following is a DFT calculation (PBE-GGA) of Cr3IrRu after structural relaxation.

As for the energy relative to the elements: 1.617 eV/atom. Its energy above the most stable polymorph in this dataset is 0 meV/atom.

It has space group Pm-3m (No. 221), with a = 4.3397 Å, b = 4.3397 Å, c = 4.3397 Å, α = 90.00°, β = 90.00° and γ = 90.00°. The asymmetric unit holds Cr at (0.0000, 0.0000, 0.5000), Ir at (0.5000, 0.5000, 0.5000) and Ru at (0.0000, 0.0000, 0.0000).

# 12
The following is a DFT calculation (PBE-GGA) of TlIn2SnCl5 after structural relaxation.

For the uncorrected formation energy, the calculation gives -0.903 eV/atom.

It has space group Cmc2_1 (No. 36), with a = 4.9797 Å, b = 17.1560 Å, c = 14.8262 Å, α = 90.00°, β = 90.00° and γ = 90.00°. The asymmetric unit holds Tl at (0.0000, 0.2417, 0.0000), In at (0.0000, 0.3372, 0.2547), In at (0.0000, 0.3875, 0.7462), Sn at (0.0000, 0.0270, 0.4866), Cl at (0.0000, 0.0762, 0.1157), Cl at (0.0000, 0.0890, 0.8656), Cl at (0.0000, 0.1942, 0.3655), Cl at (0.0000, 0.2467, 0.6505) and Cl at (0.0000, 0.4278, 0.0523).

# 13
The following is a DFT calculation (PBE-GGA) of NaZn2CrCl after structural relaxation.

For the uncorrected formation energy, the calculation gives 0.292 eV/atom.

It has space group P4/mmm (No. 123), with a = 4.9685 Å, b = 4.9685 Å, c = 6.3939 Å, α = 90.00°, β = 90.00° and γ = 90.00°. The asymmetric unit holds Na at (0.0000, 0.0000, 0.0000), Zn at (0.0000, 0.5000, 0.5000), Cr at (0.0000, 0.0000, 0.5000) and Cl at (0.5000, 0.5000, 0.0000).

# 14
The following is a DFT calculation (PBE-GGA) of ZrMo2Pt after structural relaxation.

As for the energy relative to the elements: -0.115 eV/atom. Its energy above the most stable polymorph in this dataset is 156 meV/atom.

It has space group P4mm (No. 99), with a = 2.7805 Å, b = 2.7805 Å, c = 8.8558 Å, α = 90.00°, β = 90.00° and γ = 90.00°. The asymmetric unit holds Zr at (0.0000, 0.0000, 0.0000), Mo at (0.0000, 0.0000, 0.5242), Mo at (0.5000, 0.5000, 0.2708) and Pt at (0.5000, 0.5000, 0.7439).

# 15
The following is a DFT calculation (PBE-GGA) of Sm3DyRh2 after structural relaxation.

As for the energy relative to the elements: -0.539 eV/atom.

It has space group C2/m (No. 12), with a = 16.4008 Å, b = 4.2756 Å, c = 11.0315 Å, α = 90.00°, β = 117.16° and γ = 90.00°. The asymmetric unit holds Sm at (0.0534, 0.0000, 0.2171), Sm at (0.1662, 0.5000, 0.0292), Sm at (0.2117, 0.0000, 0.5951), Dy at (0.0736, 0.5000, 0.6675), Rh at (0.1167, 0.5000, 0.4173) and Rh at (0.1371, 0.0000, 0.8433).

# 16
The following is a DFT calculation (PBE-GGA) of SrReN3 after structural relaxation.

For the uncorrected formation energy, the calculation gives -0.274 eV/atom.

It has space group P1 (No. 1), with a = 4.4008 Å, b = 5.4859 Å, c = 7.3566 Å, α = 69.61°, β = 89.11° and γ = 68.25°. The asymmetric unit holds Sr at (0.0000, 0.0000, 0.0000), Sr at (0.1911, 0.6592, 0.6153), Re at (0.4214, 0.1895, 0.3137), Re at (0.7859, 0.4575, 0.3456), N at (0.0060, 0.4553, 0.0948), N at (0.2400, 0.4485, 0.9905), N at (0.4995, 0.0294, 0.5830), N at (0.5379, 0.9423, 0.7587), N at (0.5505, 0.8607, 0.2394) and N at (0.8265, 0.3751, 0.6022).

# 17
The following is a DFT calculation (PBE-GGA) of TlZn2Mo after structural relaxation.

As for the energy relative to the elements: 0.393 eV/atom. Its energy above the most stable polymorph in this dataset is 68 meV/atom.

It has space group C2/m (No. 12), with a = 9.8730 Å, b = 2.9797 Å, c = 5.0120 Å, α = 90.00°, β = 102.44° and γ = 90.00°. The asymmetric unit holds Tl at (0.0000, 0.0000, 0.0000), Zn at (0.2342, 0.0000, 0.7019) and Mo at (0.0000, 0.5000, 0.5000).

# 18
The following is a DFT calculation (PBE-GGA) of TbY8Tm4 after structural relaxation.

As for the energy relative to the elements: 0.223 eV/atom.

It has space group R-3m (No. 166, hexagonal axes), with a = 7.2496 Å, b = 7.2496 Å, c = 27.3774 Å, α = 90.00°, β = 90.00° and γ = 120.00°. The asymmetric unit holds Tb at (0.0000, 0.0000, 0.0000), Y at (0.0000, 0.0000, 0.2843), Y at (0.0329, 0.5165, 0.2664), Tm at (0.0000, 0.0000, 0.5000) and Tm at (0.0000, 0.5000, 0.5000).

# 19
The following is a DFT calculation (PBE-GGA) of Gd3Al5O12 after structural relaxation.

For the uncorrected formation energy, the calculation gives -3.231 eV/atom.

It has space group Ia-3d (No. 230), with a = 12.2078 Å, b = 12.2078 Å, c = 12.2078 Å, α = 90.00°, β = 90.00° and γ = 90.00°. The asymmetric unit holds Gd at (0.0000, 0.2500, 0.1250), Al at (0.0000, 0.0000, 0.0000), Al at (0.0000, 0.2500, 0.3750) and O at (0.0313, 0.0489, 0.6485).

# 20
The following is a DFT calculation (PBE-GGA) of Ca3SnBr6Cl2 after structural relaxation.

For the uncorrected formation energy, the calculation gives -1.781 eV/atom.

It has space group C2/m (No. 12), with a = 14.5631 Å, b = 8.4762 Å, c = 6.4188 Å, α = 90.00°, β = 94.18° and γ = 90.00°. The asymmetric unit holds Ca at (0.0000, 0.0000, 0.0000), Ca at (0.2500, 0.2500, 0.5000), Sn at (0.0000, 0.5000, 0.5000), Br at (0.0930, 0.2450, 0.7626), Br at (0.1641, 0.5000, 0.2522) and Cl at (0.1629, 0.0000, 0.2726).

Number 1: spin magnetization 0.00 μB per cell. Number 2: spin magnetization 0.74 μB per cell. Number 3: spin magnetization 16.96 μB per cell. Number 4: spin magnetization 0.00 μB per cell. Number 5: spin magnetization 1.54 μB per cell. Number 6: spin magnetization 3.00 μB per cell. Number 7: spin magnetization 0.00 μB per cell. Number 8: spin magnetization 3.24 μB per cell. Number 9: spin magnetization 8.00 μB per cell. Number 10: spin magnetization 0.00 μB per cell. Number 11: spin magnetization 0.00 μB per cell. Number 12: spin magnetization 0.00 μB per cell. Number 13: spin magnetization 5.15 μB per cell. Number 14: spin magnetization 0.00 μB per cell. Number 15: spin magnetization 0.00 μB per cell. Number 16: spin magnetization 0.00 μB per cell. Number 17: spin magnetization 0.00 μB per cell. Number 18: spin magnetization 0.00 μB per cell. Number 19: spin magnetization 167.75 μB per cell. Number 20: spin magnetization 0.00 μB per cell.